(1)
MnAlCrPt (PBE-GGA, relaxed); crystal system = cubic; volume = 55.1 Å³/cell
1.0
0.0000 3.0198 3.0198
3.0198 0.0000 3.0198
3.0198 3.0198 0.0000
Mn Al Cr Pt
1 1 1 1
Direct
0.0000 0.0000 0.0000
0.5000 0.5000 0.5000
0.7500 0.7500 0.7500
0.2500 0.2500 0.2500

=====

(2)
LuScPdAu (PBE-GGA, relaxed); crystal system = cubic; volume = 80.2 Å³/cell
1.0
0.0000 3.4233 3.4233
3.4233 0.0000 3.4233
3.4233 3.4233 0.0000
Lu Sc Pd Au
1 1 1 1
Direct
0.0000 0.0000 0.0000
0.5000 0.5000 0.5000
0.7500 0.7500 0.7500
0.2500 0.2500 0.2500

=====

Number 1: ΔE_f -0.426 eV per atom, energy -7.570 eV per atom, total moment 1.843 μB per formula unit. Number 2: ΔE_f -0.871 eV per atom, energy -5.702 eV per atom, total moment 0.000 μB per formula unit.